# 1
CoReOsPb after structural relaxation. Source: OQMD via LeMat-Bulk, functional PBE.

Cell lengths 4.4804, 4.4804, 4.4804 Å; angles 60.00, 60.00, 60.00 degrees
Positions (direct):
1 Pb 0.0000 0.0000 0.0000
2 Os 0.2500 0.2500 0.2500
3 Co 0.7500 0.7500 0.7500
4 Re 0.5000 0.5000 0.5000

Computed properties:
Space group: F-43m (216)
Relative energy among the computed polymorphs in eV per atom: 0.0000
E_tot in eV/atom: -7.728

# 2
ScCoOsPb after structural relaxation. Source: OQMD via LeMat-Bulk, functional PBE.

Cell lengths 4.5532, 4.5532, 4.5532 Å; angles 60.00, 60.00, 60.00 degrees
Positions (direct):
1 Pb 0.0000 0.0000 0.0000
2 Co 0.7500 0.7500 0.7500
3 Os 0.2500 0.2500 0.2500
4 Sc 0.5000 0.5000 0.5000

Computed properties:
Space group: F-43m (216)
Relative energy among the computed polymorphs in eV per atom: 0.0000
E_tot in eV/atom: -6.995

# 3
ScCoOsPb after structural relaxation. Source: OQMD via LeMat-Bulk, functional PBE.

Cell lengths 4.5968, 4.5968, 4.5968 Å; angles 60.00, 60.00, 60.00 degrees
Each line ends with the local moment (μB).
Positions (direct):
1 Pb 0.0000 0.0000 0.0000  0.01
2 Co 0.7500 0.7500 0.7500  1.65
3 Sc 0.2500 0.2500 0.2500  0.01
4 Os 0.5000 0.5000 0.5000  0.94

Computed properties:
Space group: F-43m (216)
Relative energy among the computed polymorphs in eV per atom: 0.2930
E_tot in eV/atom: -6.702

# 4
CoTcOsPb after structural relaxation. Source: OQMD via LeMat-Bulk, functional PBE.

Cell lengths 4.4658, 4.4658, 4.4658 Å; angles 60.00, 60.00, 60.00 degrees
Each line ends with the local moment (μB).
Positions (direct):
1 Pb 0.0000 0.0000 0.0000  -0.02
2 Co 0.7500 0.7500 0.7500  1.41
3 Tc 0.2500 0.2500 0.2500  0.09
4 Os 0.5000 0.5000 0.5000  0.28

Computed properties:
Space group: F-43m (216)
Relative energy among the computed polymorphs in eV per atom: 0.0000
E_tot in eV/atom: -7.363

# 5
CoOsPbW after structural relaxation. Source: OQMD via LeMat-Bulk, functional PBE.

Cell lengths 4.5053, 4.5053, 4.5053 Å; angles 60.00, 60.00, 60.00 degrees
Positions (direct):
1 Co 0.7500 0.7500 0.7500
2 Os 0.2500 0.2500 0.2500
3 Pb 0.0000 0.0000 0.0000
4 W 0.5000 0.5000 0.5000

Computed properties:
Space group: F-43m (216)
Relative energy among the computed polymorphs in eV per atom: 0.0000
E_tot in eV/atom: -8.003

# 6
YCoOsPb after structural relaxation. Source: OQMD via LeMat-Bulk, functional PBE.

Cell lengths 4.7060, 4.7060, 4.7060 Å; angles 60.00, 60.00, 60.00 degrees
Positions (direct):
1 Co 0.7500 0.7500 0.7500
2 Os 0.2500 0.2500 0.2500
3 Y 0.5000 0.5000 0.5000
4 Pb 0.0000 0.0000 0.0000

Computed properties:
Space group: F-43m (216)
Relative energy among the computed polymorphs in eV per atom: 0.0000
E_tot in eV/atom: -6.891